(1)
DFT (PBE-GGA) results for an optimized crystal structure of Na5ThSe5.

Values from the calculation:
* uncorrected formation energy: -1.186 eV/atom
* E: -4.04 eV per atom

abc: 5.876 7.638 8.339
angles: 106.56 90.00 112.62
Atoms (fractional coordinates):
Na1 0.692 0.384 0.327
Na2 0.684 0.368 0.862
Na3 0.000 0.000 0.500
Na4 0.316 0.632 0.138
Na5 0.308 0.616 0.673
Th1 0.000 0.000 0.000
Se1 0.853 0.705 0.176
Se2 0.843 0.685 0.677
Se3 0.500 0.000 0.000
Se4 0.157 0.315 0.323
Se5 0.147 0.295 0.824

(2)
DFT (PBE-GGA) results for an optimized crystal structure of Tb2NdHo2Er.

Values from the calculation:
* energy of formation: 0.161 eV per atom
* E: -4.46 eV per atom

abc: 3.504 16.152 6.923
angles: 90.00 90.00 90.00
Atoms (fractional coordinates):
Tb1 0.500 0.842 0.251
Tb2 0.500 0.158 0.749
Tb3 0.000 0.658 0.751
Tb4 0.000 0.342 0.249
Nd1 0.000 0.000 0.000
Nd2 0.500 0.500 0.500
Ho1 0.500 0.156 0.250
Ho2 0.000 0.656 0.250
Ho3 0.500 0.844 0.750
Ho4 0.000 0.344 0.750
Er1 0.500 0.500 0.000
Er2 0.000 0.000 0.500